(1)
DFT (PBE-GGA) results for an optimized crystal structure of Mg2CdNiP.

a b c (Å): 5.0749 4.6539 5.0749
angles (deg): 90.00 90.00 90.00
Fractional positions:
P 0.5000 0.5000 0.5000
Mg 0.5000 0.0000 0.0000
Ni 0.0000 0.5000 0.0000
Mg 0.0000 0.0000 0.5000
Cd 0.0000 0.0000 0.0000

Values from the calculation:
**ΔH_f (0 K)**: 0.841 eV per atom

(2)
DFT (PBE-GGA) results for an optimized crystal structure of Mg5Cd2Ni2Pd.

a b c (Å): 3.0547 11.0029 11.0029
angles (deg): 90.00 90.00 90.00
Fractional positions:
Ni 0.0000 0.3642 0.1358
Cd 0.0000 0.1850 0.3150
Ni 0.0000 0.6358 0.8642
Mg 0.5000 0.5484 0.6988
Cd 0.0000 0.3150 0.8150
Mg 0.5000 0.4516 0.3012
Pd 0.0000 0.0000 0.0000
Mg 0.5000 0.9516 0.1988
Mg 0.5000 0.5000 0.0000
Ni 0.0000 0.8642 0.3642
Mg 0.5000 0.3012 0.5484
Mg 0.5000 0.0484 0.8012
Pd 0.0000 0.5000 0.5000
Ni 0.0000 0.1358 0.6358
Mg 0.5000 0.8012 0.9516
Mg 0.5000 0.1988 0.0484
Mg 0.5000 0.6988 0.4516
Mg 0.5000 0.0000 0.5000
Cd 0.0000 0.6850 0.1850
Cd 0.0000 0.8150 0.6850

Values from the calculation:
**ΔH_f (0 K)**: -0.195 eV per atom

(3)
DFT (PBE-GGA) results for an optimized crystal structure of Mg3Cd3NiPd2.

a b c (Å): 3.0624 7.8058 7.8058
angles (deg): 120.00 90.00 90.00
Fractional positions:
Mg 0.0000 0.6146 0.6146
Mg 0.0000 0.3854 0.0000
Cd 0.5000 0.0000 0.7206
Pd 0.5000 0.3333 0.6667
Mg 0.0000 0.0000 0.3854
Pd 0.5000 0.6667 0.3333
Ni 0.0000 0.0000 0.0000
Cd 0.5000 0.2794 0.2794
Cd 0.5000 0.7206 0.0000

Values from the calculation:
**ΔH_f (0 K)**: -0.315 eV per atom

(4)
DFT (PBE-GGA) results for an optimized crystal structure of Mg5Cd2NiPd2.

a b c (Å): 3.0466 11.1908 11.1908
angles (deg): 90.00 90.00 90.00
Fractional positions:
Ni 0.0000 0.0000 0.0000
Cd 0.0000 0.3207 0.8207
Mg 0.5000 0.0000 0.5000
Mg 0.5000 0.4516 0.3120
Pd 0.0000 0.1386 0.6386
Pd 0.0000 0.6386 0.8614
Mg 0.5000 0.8120 0.9516
Cd 0.0000 0.8207 0.6793
Ni 0.0000 0.5000 0.5000
Mg 0.5000 0.0484 0.8120
Mg 0.5000 0.1880 0.0484
Pd 0.0000 0.8614 0.3614
Mg 0.5000 0.5000 0.0000
Mg 0.5000 0.9516 0.1880
Mg 0.5000 0.3120 0.5484
Mg 0.5000 0.5484 0.6880
Mg 0.5000 0.6880 0.4516
Pd 0.0000 0.3614 0.1386
Cd 0.0000 0.6793 0.1793
Cd 0.0000 0.1793 0.3207

Values from the calculation:
**ΔH_f (0 K)**: -0.310 eV per atom

(5)
DFT (PBE-GGA) results for an optimized crystal structure of RbMgCd2Ni.

a b c (Å): 5.2045 5.2045 5.0357
angles (deg): 90.00 90.00 90.00
Fractional positions:
Cd 0.5000 0.0000 0.0000
Ni 0.0000 0.0000 0.0000
Mg 0.0000 0.0000 0.5000
Cd 0.0000 0.5000 0.0000
Rb 0.5000 0.5000 0.5000

Values from the calculation:
**ΔH_f (0 K)**: 0.019 eV per atom

(6)
DFT (PBE-GGA) results for an optimized crystal structure of MgScCdNi.

a b c (Å): 4.6826 4.6826 4.6826
angles (deg): 60.00 60.00 60.00
Fractional positions:
Mg 0.5000 0.5000 0.5000
Ni 0.7500 0.7500 0.7500
Cd 0.2500 0.2500 0.2500
Sc 0.0000 0.0000 0.0000

Values from the calculation:
**ΔH_f (0 K)**: -0.211 eV per atom

(7)
DFT (PBE-GGA) results for an optimized crystal structure of MgScCdNi.

a b c (Å): 3.2152 3.2152 7.1261
angles (deg): 90.00 90.00 90.00
Fractional positions:
Sc 0.5000 0.5000 0.3664
Mg 0.5000 0.5000 0.7866
Cd 0.0000 0.0000 0.0661
Ni 0.0000 0.0000 0.5656

Values from the calculation:
**ΔH_f (0 K)**: -0.294 eV per atom

(8)
DFT (PBE-GGA) results for an optimized crystal structure of Mg2CdSi2Ni5.

a b c (Å): 3.3234 9.1573 9.1573
angles (deg): 90.00 90.00 90.00
Fractional positions:
Si 0.0000 0.1214 0.6214
Cd 0.0000 0.0000 0.0000
Ni 0.5000 0.4323 0.2804
Ni 0.5000 0.5677 0.7196
Si 0.0000 0.3786 0.1214
Mg 0.0000 0.3244 0.8244
Ni 0.5000 0.0000 0.5000
Ni 0.5000 0.7196 0.4323
Ni 0.5000 0.5000 0.0000
Ni 0.5000 0.7804 0.9323
Mg 0.0000 0.8244 0.6756
Ni 0.5000 0.0677 0.7804
Si 0.0000 0.6214 0.8786
Mg 0.0000 0.6756 0.1756
Cd 0.0000 0.5000 0.5000
Ni 0.5000 0.9323 0.2196
Si 0.0000 0.8786 0.3786
Ni 0.5000 0.2804 0.5677
Ni 0.5000 0.2196 0.0677
Mg 0.0000 0.1756 0.3244

Values from the calculation:
**Formation energy (no corrections)**: -0.326 eV/atom

(9)
DFT (PBE-GGA) results for an optimized crystal structure of Mg2CdNiSn.

a b c (Å): 4.9608 4.9608 4.7519
angles (deg): 90.00 90.00 90.00
Fractional positions:
Mg 0.5000 0.0000 0.0000
Ni 0.0000 0.0000 0.0000
Sn 0.0000 0.0000 0.5000
Mg 0.0000 0.5000 0.0000
Cd 0.5000 0.5000 0.5000

Values from the calculation:
**ΔH_f (0 K)**: -0.033 eV per atom

(10)
DFT (PBE-GGA) results for an optimized crystal structure of SrMgCd2Ni.

a b c (Å): 5.0972 5.0972 4.8545
angles (deg): 90.00 90.00 90.00
Fractional positions:
Cd 0.5000 0.0000 0.0000
Sr 0.5000 0.5000 0.5000
Mg 0.0000 0.0000 0.5000
Cd 0.0000 0.5000 0.0000
Ni 0.0000 0.0000 0.0000

Values from the calculation:
**ΔH_f (0 K)**: -0.136 eV per atom

(11)
DFT (PBE-GGA) results for an optimized crystal structure of TbMgCdNi.

a b c (Å): 4.8662 4.8662 4.8662
angles (deg): 60.00 60.00 60.00
Fractional positions:
Ni 0.2500 0.2500 0.2500
Mg 0.5000 0.5000 0.5000
Tb 0.0000 0.0000 0.0000
Cd 0.7500 0.7500 0.7500

Values from the calculation:
**ΔH_f (0 K)**: -0.189 eV per atom

(12)
DFT (PBE-GGA) results for an optimized crystal structure of MgTiCdNi2.

a b c (Å): 4.7213 4.7213 4.9147
angles (deg): 90.00 90.00 90.00
Fractional positions:
Ti 0.0000 0.0000 0.5000
Cd 0.0000 0.0000 0.0000
Ni 0.0000 0.5000 0.0000
Ni 0.5000 0.0000 0.0000
Mg 0.5000 0.5000 0.5000

Values from the calculation:
**ΔH_f (0 K)**: 1.144 eV per atom

(13)
DFT (PBE-GGA) results for an optimized crystal structure of MgTl2CdNi.

a b c (Å): 5.0747 5.0747 5.0132
angles (deg): 90.00 90.00 90.00
Fractional positions:
Tl 0.5000 0.0000 0.0000
Tl 0.0000 0.5000 0.0000
Mg 0.0000 0.0000 0.5000
Ni 0.0000 0.0000 0.0000
Cd 0.5000 0.5000 0.5000

Values from the calculation:
**ΔH_f (0 K)**: 0.101 eV per atom

(14)
DFT (PBE-GGA) results for an optimized crystal structure of MgTlCd2Ni.

a b c (Å): 5.0320 5.0320 4.9098
angles (deg): 90.00 90.00 90.00
Fractional positions:
Mg 0.0000 0.0000 0.5000
Ni 0.0000 0.0000 0.0000
Tl 0.5000 0.5000 0.5000
Cd 0.5000 0.0000 0.0000
Cd 0.0000 0.5000 0.0000

Values from the calculation:
**ΔH_f (0 K)**: 0.097 eV per atom

(15)
DFT (PBE-GGA) results for an optimized crystal structure of TmMgCdNi.

a b c (Å): 4.8125 4.8125 4.8125
angles (deg): 60.00 60.00 60.00
Fractional positions:
Ni 0.2500 0.2500 0.2500
Cd 0.7500 0.7500 0.7500
Mg 0.0000 0.0000 0.0000
Tm 0.5000 0.5000 0.5000

Values from the calculation:
**ΔH_f (0 K)**: -0.197 eV per atom

(16)
DFT (PBE-GGA) results for an optimized crystal structure of YMg2CdNi.

a b c (Å): 4.9253 4.9253 4.9913
angles (deg): 90.00 90.00 90.00
Fractional positions:
Mg 0.5000 0.0000 0.0000
Y 0.0000 0.0000 0.5000
Cd 0.5000 0.5000 0.5000
Mg 0.0000 0.5000 0.0000
Ni 0.0000 0.0000 0.0000

Values from the calculation:
**ΔH_f (0 K)**: -0.094 eV per atom

(17)
DFT (PBE-GGA) results for an optimized crystal structure of YMgCdNi.

a b c (Å): 4.8623 4.8623 4.8623
angles (deg): 60.00 60.00 60.00
Fractional positions:
Mg 0.2500 0.2500 0.2500
Ni 0.5000 0.5000 0.5000
Y 0.7500 0.7500 0.7500
Cd 0.0000 0.0000 0.0000

Values from the calculation:
**ΔH_f (0 K)**: -0.196 eV per atom

(18)
DFT (PBE-GGA) results for an optimized crystal structure of Mg2ZnCdNi.

a b c (Å): 4.8227 4.6115 4.8227
angles (deg): 90.00 90.00 90.00
Fractional positions:
Mg 0.0000 0.0000 0.5000
Ni 0.0000 0.0000 0.0000
Mg 0.5000 0.0000 0.0000
Zn 0.0000 0.5000 0.0000
Cd 0.5000 0.5000 0.5000

Values from the calculation:
**ΔH_f (0 K)**: 0.093 eV per atom

(19)
DFT (PBE-GGA) results for an optimized crystal structure of MgZrCdNi.

a b c (Å): 4.6883 4.6883 4.6883
angles (deg): 60.00 60.00 60.00
Fractional positions:
Cd 0.2500 0.2500 0.2500
Zr 0.5000 0.5000 0.5000
Ni 0.7500 0.7500 0.7500
Mg 0.0000 0.0000 0.0000

Values from the calculation:
**ΔH_f (0 K)**: -0.142 eV per atom

(20)
DFT (PBE-GGA) results for an optimized crystal structure of MgNpCd2O6.

a b c (Å): 5.5277 5.7038 8.0939
angles (deg): 90.00 90.15 90.00
Fractional positions:
O 0.3910 0.9480 0.7490
Mg 0.5000 0.0000 0.0000
O 0.8065 0.8080 0.5563
O 0.3065 0.6920 0.0563
O 0.6935 0.3080 0.9437
Cd 0.4910 0.4525 0.2500
Np 0.0000 0.5000 0.0000
O 0.1935 0.1920 0.4437
O 0.8910 0.5520 0.2490
O 0.3142 0.6970 0.4391
O 0.1858 0.1970 0.0609
Cd 0.9910 0.0475 0.7500
O 0.6090 0.0520 0.2510
O 0.6858 0.3030 0.5609
O 0.1090 0.4480 0.7510
O 0.8142 0.8030 0.9391
Cd 0.5090 0.5475 0.7500
Cd 0.0090 0.9525 0.2500
Np 0.5000 0.0000 0.5000
Mg 0.0000 0.5000 0.5000

Values from the calculation:
**Formation energy (no corrections)**: -2.080 eV/atom